No. 1
Below is AgBi2Se3 after structural relaxation, with properties calculated at the PBE level.

Results
* electronic total energy: -3.710 eV/atom
* energy above the lowest structure with this stoichiometry: 0.016 eV/atom

Unit cell a=4.6200 b=17.6367 c=3.9692 alpha=90.00 beta=90.00 gamma=90.00
Closest atoms and distances in Å follow each position.
Space group Imm2 (No. 44)
Symmetry-distinct sites (fractional):
1 Ag 0.0000 0.0000 0.0000  2 Se 2.69
2 Bi 0.0000 0.3378 0.1847  6 Se 2.86-3.12
3 Se 0.0000 0.1668 0.2116  5 Bi 2.98-3.12, 1 Ag 3.06
4 Se 0.0000 0.5000 0.1504  2 Ag 2.69, 2 Bi 2.86



No. 2
Below is La3TiZn after structural relaxation, with properties calculated at the PBE level.

Results
* electronic total energy: -4.354 eV/atom
* energy above the lowest structure with this stoichiometry: 0.000 eV/atom

Unit cell a=5.5128 b=5.5128 c=5.5128 alpha=90.00 beta=90.00 gamma=90.00
Closest atoms and distances in Å follow each position.
Space group Pm-3m (No. 221)
Symmetry-distinct sites (fractional):
1 La 0.0000 0.0000 0.5000  2 Ti 2.76
2 Ti 0.0000 0.0000 0.0000  6 La 2.76
3 Zn 0.5000 0.5000 0.5000  12 La 3.90



No. 3
Below is Ac2Pm4Sb3N2 after structural relaxation, with properties calculated at the PBE level.

Results
* electronic total energy: -6.281 eV/atom

Unit cell a=4.8600 b=4.8600 c=26.6206 alpha=90.00 beta=90.00 gamma=90.00
Closest atoms and distances in Å follow each position.
Space group I4/mmm (No. 139)
Symmetry-distinct sites (fractional):
1 Ac 0.0000 0.0000 0.1917  1 N 2.47
2 Pm 0.0000 0.5000 0.0797  2 N 2.48
3 Sb 0.0000 0.0000 0.3276  4 Pm 3.46, 5 Ac 3.47-3.62
4 Sb 0.0000 0.0000 0.5000  8 Pm 3.23
5 N 0.0000 0.0000 0.0990  1 Ac 2.47, 4 Pm 2.48



No. 4
Below is Sc2AuBr after structural relaxation, with properties calculated at the PBE level.

Results
* electronic total energy: -5.050 eV/atom
* energy above the lowest structure with this stoichiometry: 0.146 eV/atom

Unit cell a=3.4774 b=3.4774 c=8.1486 alpha=90.00 beta=90.00 gamma=90.00
Closest atoms and distances in Å follow each position.
Space group P4mm (No. 99)
Symmetry-distinct sites (fractional):
1 Sc 0.0000 0.0000 0.0000  4 Br 2.82
2 Sc 0.5000 0.5000 0.2569  4 Au 2.85
3 Au 0.0000 0.0000 0.4346  4 Sc 2.85
4 Br 0.5000 0.5000 0.8300  4 Sc 2.82



No. 5
Below is MgNiPb2 after structural relaxation, with properties calculated at the PBE level.

Results
* electronic total energy: -3.585 eV/atom

Unit cell a=3.8131 b=4.3831 c=5.6944 alpha=90.00 beta=109.30 gamma=90.00
Closest atoms and distances in Å follow each position.
Space group Pm (No. 6)
Symmetry-distinct sites (fractional):
1 Mg 0.0000 0.0000 0.0000  2 Ni 2.65
2 Ni 0.1370 0.5000 0.2777  2 Mg 2.65
3 Pb 0.4213 0.5000 0.8392  3 Ni 3.02-3.03, 4 Mg 3.03
4 Pb 0.7120 0.0000 0.4329  3 Mg 3.00-3.05, 4 Ni 3.02-3.03



No. 6
Below is In3HgSb after structural relaxation, with properties calculated at the PBE level.

Results
* electronic total energy: -2.519 eV/atom
* energy above the lowest structure with this stoichiometry: 0.000 eV/atom

Unit cell a=7.2587 b=4.4895 c=9.5058 alpha=90.00 beta=108.55 gamma=90.00
Closest atoms and distances in Å follow each position.
Space group P2_1/m (No. 11)
Symmetry-distinct sites (fractional):
1 In 0.0972 0.2500 0.2146  2 Sb 3.02, 1 Hg 3.14, 3 In 3.18-3.33
2 In 0.1574 0.2500 0.5606  1 Sb 3.02, 2 Hg 3.06, 3 In 3.15-3.18
3 In 0.3840 0.7500 0.1296  3 Sb 3.12-3.20, 2 Hg 3.30, 2 In 3.33
4 Hg 0.4577 0.7500 0.6042  5 In 3.06-3.30, 2 Hg 3.18
5 Sb 0.1935 0.2500 0.8864  6 In 3.02-3.20



No. 7
Below is MnInW2 after structural relaxation, with properties calculated at the PBE level.

Results
* electronic total energy: -8.538 eV/atom

Unit cell a=3.8011 b=3.8011 c=19.9474 alpha=90.00 beta=90.00 gamma=90.00
Closest atoms and distances in Å follow each position.
Space group I-42d (No. 122)
Symmetry-distinct sites (fractional):
1 Mn 0.0000 0.0000 0.0000  4 In 2.69, 4 W 2.82
2 In 0.0000 0.0000 0.5000  4 Mn 2.69, 4 W 2.85
3 W 0.2402 0.2500 0.1250  4 W 2.64-2.74, 2 Mn 2.82, 2 In 2.85



No. 8
Below is Co2BiTe after structural relaxation, with properties calculated at the PBE level.

Results
* electronic total energy: -4.821 eV/atom

Unit cell a=6.6393 b=6.6393 c=6.6393 alpha=90.00 beta=90.00 gamma=90.00
Closest atoms and distances in Å follow each position.
Space group Fm-3m (No. 225)
Symmetry-distinct sites (fractional):
1 Co 0.2500 0.2500 0.2500  4 Bi 2.87, 4 Te 2.87
2 Bi 0.0000 0.0000 0.0000  8 Co 2.87
3 Te 0.0000 0.0000 0.5000  8 Co 2.87



No. 9
Below is Cs2TbUS4 after structural relaxation, with properties calculated at the PBE level.

Results
* electronic total energy: -5.835 eV/atom

Unit cell a=7.1305 b=4.1204 c=8.4337 alpha=90.00 beta=106.39 gamma=90.00
Closest atoms and distances in Å follow each position.
Space group P2/m (No. 10)
Symmetry-distinct sites (fractional):
1 Cs 0.0000 0.0000 0.0000  6 S 3.50-3.51
2 Cs 0.5000 0.5000 0.0000  6 S 3.50
3 Tb 0.0000 0.5000 0.5000  6 S 2.80
4 U 0.5000 0.0000 0.5000  6 S 2.79
5 S 0.2283 0.0000 0.6826  1 U 2.79, 2 Tb 2.80
6 S 0.2737 0.5000 0.3181  2 U 2.79, 1 Tb 2.80



no.,V (Å³ per atom)
1,27.0
2,33.5
3,28.6
4,24.6
5,22.5
6,29.4
7,18.0
8,18.3
9,29.7